Record 1
Below is a relaxed structure of SrCuTeN2, with properties calculated at the PBE level.

## Properties
ΔE to the lowest computed polymorph ... 677 meV/atom
Space group ... No. 123
Total DFT energy (no corrections) ... -3.537 eV per atom
Formation energy without anion corrections ... 7.886 eV per formula unit

a = 4.753 Å, b = 4.753 Å, c = 6.755 Å
α = 90.00°, β = 90.00°, γ = 90.00°
Fractional coordinates of all 5 atoms:
Cu  0.500  0.500  0.500
Te  0.000  0.000  0.500
N  0.500  0.000  0.000
N  0.000  0.500  0.000
Sr  0.000  0.000  0.000

Record 2
Below is a relaxed structure of Zr2ScCd, with properties calculated at the PBE level.

## Properties
E_form ... 0.01 eV per atom
ΔE to the lowest computed polymorph ... 128 meV/atom
Space group ... No. 166
Total DFT energy (no corrections) ... -6.076 eV per atom

a = 10.876 Å, b = 10.876 Å, c = 10.876 Å
α = 16.62°, β = 16.62°, γ = 16.62°
Fractional coordinates of all 4 atoms:
Cd  0.250  0.250  0.250
Zr  0.500  0.500  0.500
Zr  0.000  0.000  0.000
Sc  0.750  0.750  0.750

Record 3
Below is a relaxed structure of Ba2Cd6InRh, with properties calculated at the PBE level.

## Properties
E_form ... -0.25 eV per atom
Space group ... No. 166
Total DFT energy (no corrections) ... -2.189 eV per atom

a = 7.232 Å, b = 7.232 Å, c = 13.423 Å
α = 74.37°, β = 74.37°, γ = 60.00°
Fractional coordinates of all 20 atoms:
Cd  0.220  0.655  0.905
Cd  0.925  0.329  0.418
Cd  0.220  0.220  0.905
Cd  0.329  0.329  0.418
Cd  0.329  0.925  0.418
Cd  0.075  0.671  0.582
Cd  0.345  0.780  0.095
Cd  0.655  0.220  0.905
Cd  0.780  0.345  0.095
Cd  0.780  0.780  0.095
Cd  0.671  0.671  0.582
Cd  0.671  0.075  0.582
In  0.573  0.573  0.282
In  0.427  0.427  0.718
Rh  0.500  0.500  0.500
Rh  0.000  0.000  0.000
Ba  0.892  0.892  0.324
Ba  0.108  0.108  0.676
Ba  0.719  0.719  0.842
Ba  0.281  0.281  0.158

Record 4
Below is a relaxed structure of AcAl2Ga4, with properties calculated at the PBE level.

## Properties
E_form ... -0.28 eV per atom
Space group ... No. 71
Total DFT energy (no corrections) ... -3.665 eV per atom

a = 4.364 Å, b = 4.379 Å, c = 8.540 Å
α = 104.85°, β = 104.80°, γ = 90.00°
Fractional coordinates of all 7 atoms:
Al  0.828  0.828  0.655
Al  0.172  0.172  0.345
Ac  0.500  0.000  0.000
Ga  0.329  0.329  0.659
Ga  0.080  0.580  0.160
Ga  0.920  0.420  0.840
Ga  0.671  0.671  0.341